The following is a GGA-PBE calculation of crystalline Tb2LuNb at its relaxed geometry, from Alexandria.

a b c (Å): 3.287 3.287 34.414
angles (deg): 90.00 90.00 120.00
Sites, in units of the cell vectors:
Tb (0.000, 0.000, 0.084)
Tb (0.000, 0.000, 0.916)
Tb (0.333, 0.667, 0.583)
Tb (0.333, 0.667, 0.751)
Tb (0.667, 0.333, 0.249)
Tb (0.667, 0.333, 0.417)
Lu (0.000, 0.000, 0.500)
Lu (0.333, 0.667, 0.167)
Lu (0.667, 0.333, 0.833)
Nb (0.000, 0.000, 0.000)
Nb (0.333, 0.667, 0.667)
Nb (0.667, 0.333, 0.333)

Output
Calculated volume: 322 Å³/cell
Energy relative to the elements: 0.514 eV per atom

=====

The following is a GGA-PBE calculation of crystalline MnSeCl at its relaxed geometry, from Alexandria.

a b c (Å): 3.157 3.157 13.943
angles (deg): 90.00 90.00 90.00
Sites, in units of the cell vectors:
Mn (0.000, 0.000, 0.000)
Mn (0.500, 0.500, 0.500)
Se (0.000, 0.000, 0.613)
Se (0.500, 0.500, 0.113)
Cl (0.000, 0.000, 0.386)
Cl (0.500, 0.500, 0.886)

Output
Formation energy (no corrections): -316 meV/atom
Calculated volume: 139 Å³/cell

=====

The following is a GGA-PBE calculation of crystalline Ho3Si5Pt6 at its relaxed geometry, from Alexandria.

a b c (Å): 4.049 12.576 9.514
angles (deg): 90.00 90.00 90.00
Sites, in units of the cell vectors:
Ho (0.250, 0.082, 0.244)
Ho (0.250, 0.418, 0.244)
Ho (0.250, 0.750, 0.262)
Ho (0.750, 0.250, 0.738)
Ho (0.750, 0.582, 0.756)
Ho (0.750, 0.918, 0.756)
Si (0.250, 0.083, 0.849)
Si (0.250, 0.417, 0.849)
Si (0.250, 0.636, 0.541)
Si (0.250, 0.750, 0.841)
Si (0.250, 0.864, 0.541)
Si (0.750, 0.136, 0.459)
Si (0.750, 0.250, 0.159)
Si (0.750, 0.364, 0.459)
Si (0.750, 0.583, 0.151)
Si (0.750, 0.917, 0.151)
Pt (0.250, 0.053, 0.600)
Pt (0.250, 0.250, 0.478)
Pt (0.250, 0.250, 0.998)
Pt (0.250, 0.447, 0.600)
Pt (0.250, 0.583, 0.011)
Pt (0.250, 0.917, 0.011)
Pt (0.750, 0.083, 0.989)
Pt (0.750, 0.417, 0.989)
Pt (0.750, 0.553, 0.400)
Pt (0.750, 0.750, 0.002)
Pt (0.750, 0.750, 0.522)
Pt (0.750, 0.947, 0.400)

Output
Formation energy (no corrections): -1046 meV/atom
Calculated volume: 484 Å³/cell

=====

The following is a GGA-PBE calculation of crystalline Th4CuIrS2 at its relaxed geometry, from Alexandria.

a b c (Å): 7.044 4.102 7.354
angles (deg): 90.00 108.60 90.00
Sites, in units of the cell vectors:
Th (0.242, 0.000, 0.240)
Th (0.243, 0.500, 0.752)
Th (0.757, 0.500, 0.248)
Th (0.758, 0.000, 0.760)
Cu (0.500, 0.000, 0.000)
Ir (0.000, 0.500, 0.000)
S (0.000, 0.000, 0.500)
S (0.500, 0.500, 0.500)

Output
Formation energy (no corrections): -1100 meV/atom
Calculated volume: 201 Å³/cell

=====

The following is a GGA-PBE calculation of crystalline Li3AlI at its relaxed geometry, from Alexandria.

a b c (Å): 5.313 5.313 5.313
angles (deg): 90.00 90.00 90.00
Sites, in units of the cell vectors:
Li (0.000, 0.000, 0.500)
Li (0.000, 0.500, 0.000)
Li (0.500, 0.000, 0.000)
Al (0.000, 0.000, 0.000)
I (0.500, 0.500, 0.500)

Output
Formation energy (no corrections): 96 meV/atom
Calculated volume: 150 Å³/cell
Relative energy among the computed polymorphs: 0.0913 eV per atom

=====

The following is a GGA-PBE calculation of crystalline LaTbYS3 at its relaxed geometry, from Alexandria.

a b c (Å): 6.893 3.934 10.437
angles (deg): 90.00 102.66 90.00
Sites, in units of the cell vectors:
La (0.154, 0.250, 0.194)
La (0.846, 0.750, 0.806)
Tb (0.267, 0.750, 0.556)
Tb (0.733, 0.250, 0.444)
Y (0.373, 0.250, 0.867)
Y (0.627, 0.750, 0.133)
S (0.050, 0.250, 0.660)
S (0.231, 0.750, 0.001)
S (0.450, 0.750, 0.345)
S (0.550, 0.250, 0.655)
S (0.769, 0.250, 0.999)
S (0.950, 0.750, 0.340)

Output
Formation energy (no corrections): -2004 meV/atom
Calculated volume: 276 Å³/cell

=====

The following is a GGA-PBE calculation of crystalline MgReIr at its relaxed geometry, from Alexandria.

a b c (Å): 9.677 4.200 6.761
angles (deg): 90.00 130.08 90.00
Sites, in units of the cell vectors:
Mg (0.069, 0.000, 0.325)
Mg (0.431, 0.500, 0.675)
Mg (0.569, 0.500, 0.325)
Mg (0.931, 0.000, 0.675)
Re (0.152, 0.500, 0.073)
Re (0.348, 0.000, 0.927)
Re (0.652, 0.000, 0.073)
Re (0.848, 0.500, 0.927)
Ir (0.166, 0.500, 0.720)
Ir (0.334, 0.000, 0.280)
Ir (0.666, 0.000, 0.720)
Ir (0.834, 0.500, 0.280)

Output
Calculated volume: 210 Å³/cell
Relative energy among the computed polymorphs: 0.0976 eV per atom
Energy relative to the elements: -0.076 eV per atom

=====

The following is a GGA-PBE calculation of crystalline LiUPa2O8 at its relaxed geometry, from Alexandria.

a b c (Å): 6.533 6.533 6.533
angles (deg): 131.85 131.85 70.47
Sites, in units of the cell vectors:
Li (0.000, 0.000, 0.000)
U (0.250, 0.750, 0.500)
Pa (0.500, 0.500, 0.000)
Pa (0.750, 0.250, 0.500)
O (0.130, 0.127, 0.515)
O (0.130, 0.615, 0.003)
O (0.385, 0.388, 0.515)
O (0.385, 0.870, 0.997)
O (0.612, 0.127, 0.997)
O (0.612, 0.615, 0.485)
O (0.873, 0.388, 0.003)
O (0.873, 0.870, 0.485)

Output
Formation energy (no corrections): -3307 meV/atom
Calculated volume: 152 Å³/cell

=====

The following is a GGA-PBE calculation of crystalline K2CuI2F2 at its relaxed geometry, from Alexandria.

a b c (Å): 4.613 4.613 16.898
angles (deg): 90.00 90.00 90.00
Sites, in units of the cell vectors:
K (0.000, 0.000, 0.098)
K (0.000, 0.000, 0.902)
K (0.500, 0.500, 0.402)
K (0.500, 0.500, 0.598)
Cu (0.000, 0.000, 0.500)
Cu (0.500, 0.500, 0.000)
I (0.000, 0.000, 0.343)
I (0.000, 0.000, 0.657)
I (0.500, 0.500, 0.157)
I (0.500, 0.500, 0.843)
F (0.000, 0.500, 0.000)
F (0.000, 0.500, 0.500)
F (0.500, 0.000, 0.000)
F (0.500, 0.000, 0.500)

Output
Formation energy (no corrections): -1488 meV/atom
Calculated volume: 360 Å³/cell
Relative energy among the computed polymorphs: 0.0000 eV per atom

=====

The following is a GGA-PBE calculation of crystalline LaTaB2S at its relaxed geometry, from Alexandria.

a b c (Å): 4.344 4.344 4.546
angles (deg): 90.00 90.00 90.00
Sites, in units of the cell vectors:
La (0.000, 0.000, 0.000)
Ta (0.500, 0.500, 0.000)
B (0.000, 0.500, 0.500)
B (0.500, 0.000, 0.500)
S (0.500, 0.500, 0.500)

Output
Formation energy (no corrections): 1079 meV/atom
Calculated volume: 86 Å³/cell

=====

The following is a GGA-PBE calculation of crystalline SiBiS3 at its relaxed geometry, from Alexandria.

a b c (Å): 7.665 7.665 7.665
angles (deg): 128.88 84.83 117.55
Sites, in units of the cell vectors:
Si (0.015, 0.250, 0.265)
Si (0.985, 0.750, 0.735)
Bi (0.101, 0.085, 0.516)
Bi (0.569, 0.585, 0.484)
S (0.212, 0.056, 0.133)
S (0.212, 0.579, 0.656)
S (0.674, 0.478, 0.696)
S (0.782, 0.978, 0.304)
S (0.923, 0.079, 0.867)
S (0.923, 0.556, 0.344)

Output
Formation energy (no corrections): -182 meV/atom
Calculated volume: 297 Å³/cell
Relative energy among the computed polymorphs: 0.0000 eV per atom

=====

The following is a GGA-PBE calculation of crystalline SmTlAg2Cl6 at its relaxed geometry, from Alexandria.

a b c (Å): 7.169 7.175 7.724
angles (deg): 90.02 117.62 119.93
Sites, in units of the cell vectors:
Sm (0.000, 0.000, 0.000)
Tl (0.037, 0.519, 0.557)
Ag (0.609, 0.804, 0.414)
Ag (0.641, 0.321, 0.963)
Cl (0.134, 0.975, 0.727)
Cl (0.138, 0.737, 0.204)
Cl (0.467, 0.400, 0.204)
Cl (0.569, 0.594, 0.728)
Cl (0.752, 0.160, 0.728)
Cl (0.804, 0.067, 0.205)

Output
Formation energy (no corrections): -1279 meV/atom
Calculated volume: 291 Å³/cell